No. 1
VASP calculation (PBE) on an optimized crystal structure of CoHgAs2.

## Properties
Its calculated total energy is -16.7 eV per cell. The formation energy comes out at -0.01 eV per atom. Its symmetry is P4/mmm, No. 123. For the size of the total moment, the calculation gives 0.6 μB per cell.

Unit cell a=2.8822 b=2.8822 c=9.7331 alpha=90.00 beta=90.00 gamma=90.00
Last column: nearest neighbours and their distance in Å.
Element x y z (fractional)
1 Co 0.0000 0.0000 0.0000  8 As 2.54
2 Hg 0.0000 0.0000 0.5000  4 Hg 2.88
3 As 0.5000 0.5000 0.1552  4 Co 2.54
4 As 0.5000 0.5000 0.8448  4 Co 2.54

=====

No. 2
VASP calculation (PBE) on an optimized crystal structure of TaFeBr.

## Properties
Its calculated total energy is -20.8 eV per cell. The calculation puts the uncorrected formation energy at 398.7 meV/atom. Its symmetry is Fmm2, No. 42. For the size of the total moment, the calculation gives 0.0 μB per cell. The relative energy among the computed polymorphs is 0.184 eV per atom.

Unit cell a=6.4514 b=6.4437 c=3.0659 alpha=76.39 beta=76.11 gamma=27.51
Last column: nearest neighbours and their distance in Å.
Element x y z (fractional)
1 Ta 0.0000 0.0000 0.0000  4 Fe 2.50-2.52
2 Fe 0.3954 0.3954 0.6046  4 Ta 2.50-2.52
3 Br 0.6659 0.6659 0.3341  4 Ta 2.95-2.97, 4 Br 3.07, 1 Fe 3.28

=====

No. 3
VASP calculation (PBE) on an optimized crystal structure of CuTe2HI.

## Properties
Its calculated total energy is -9.1 eV per cell. Its symmetry is P4/mmm, No. 123. For the size of the total moment, the calculation gives 0.0 μB per cell. The relative energy among the computed polymorphs is 0.770 eV per atom.

Unit cell a=6.2041 b=6.2041 c=4.8858 alpha=90.00 beta=90.00 gamma=90.00
Last column: nearest neighbours and their distance in Å.
Element x y z (fractional)
1 Cu 0.0000 0.0000 0.0000  2 I 2.44
2 Te 0.0000 0.5000 0.5000  2 I 3.10
3 Te 0.5000 0.0000 0.5000  2 I 3.10
4 H 0.5000 0.5000 0.0000  8 Te 3.95, 4 Cu 4.39
5 I 0.0000 0.0000 0.5000  2 Cu 2.44

=====

No. 4
VASP calculation (PBE) on an optimized crystal structure of CsSrP.

## Properties
Its calculated total energy is -19.7 eV per cell. The formation energy comes out at -0.64 eV per atom. Its symmetry is I4/mmm, No. 139. For the size of the total moment, the calculation gives 0.0 μB per cell.

Unit cell a=9.0267 b=9.0267 c=9.0267 alpha=144.63 beta=144.63 gamma=50.88
Last column: nearest neighbours and their distance in Å.
Element x y z (fractional)
1 Cs 0.0000 0.5000 0.5000  4 P 3.78, 4 Cs 3.88, 2 Sr 4.08
2 Cs 0.5000 0.0000 0.5000  4 P 3.78, 4 Cs 3.88, 2 Sr 4.08
3 Sr 0.2500 0.7500 0.5000  4 P 3.11
4 Sr 0.7500 0.2500 0.5000  4 P 3.11
5 P 0.1597 0.1597 0.0000  4 Sr 3.11
6 P 0.8403 0.8403 0.0000  4 Sr 3.11

=====

No. 5
VASP calculation (PBE) on an optimized crystal structure of K2In2Co.

## Properties
Its calculated total energy is -27.0 eV per cell. The formation energy comes out at 0.25 eV per atom. Its symmetry is P4/mbm, No. 127. For the size of the total moment, the calculation gives 1.7 μB per cell.

Unit cell a=7.0607 b=7.0607 c=6.1944 alpha=90.00 beta=90.00 gamma=90.00
Last column: nearest neighbours and their distance in Å.
Element x y z (fractional)
1 K 0.1710 0.3290 0.0000  2 In 3.41, 5 K 3.42-3.70
2 K 0.3290 0.8290 0.0000  2 In 3.41, 5 K 3.42-3.70
3 K 0.6710 0.1710 0.0000  2 In 3.41, 5 K 3.42-3.70
4 K 0.8290 0.6710 0.0000  2 In 3.41, 5 K 3.42-3.70
5 In 0.1867 0.6867 0.5000  2 Co 2.58
6 In 0.3133 0.1867 0.5000  2 Co 2.58
7 In 0.6867 0.8133 0.5000  2 Co 2.58
8 In 0.8133 0.3133 0.5000  2 Co 2.58
9 Co 0.0000 0.0000 0.5000  4 In 2.58
10 Co 0.5000 0.5000 0.5000  4 In 2.58

=====

No. 6
VASP calculation (PBE) on an optimized crystal structure of TlPd3Se2.

## Properties
Its calculated total energy is -52.7 eV per cell. The calculation puts the uncorrected formation energy at -240.0 meV/atom. Its symmetry is C2/m, No. 12. For the size of the total moment, the calculation gives 0.0 μB per cell.

Unit cell a=8.0551 b=8.0551 c=8.7136 alpha=111.51 beta=111.51 gamma=29.51
Last column: nearest neighbours and their distance in Å.
Element x y z (fractional)
1 Tl 0.1507 0.1507 0.0662  7 Se 3.33-3.56, 3 Pd 3.51-3.65
2 Tl 0.8493 0.8493 0.9338  7 Se 3.33-3.56, 3 Pd 3.51-3.65
3 Pd 0.0518 0.0518 0.3845  3 Se 2.51-2.68
4 Pd 0.3142 0.3142 0.5879  2 Se 2.44-2.56
5 Pd 0.4110 0.4110 0.3653  3 Se 2.50-2.55
6 Pd 0.5890 0.5890 0.6347  3 Se 2.50-2.55
7 Pd 0.6858 0.6858 0.4121  2 Se 2.44-2.56
8 Pd 0.9482 0.9482 0.6155  3 Se 2.51-2.68
9 Se 0.1871 0.1871 0.6863  4 Pd 2.44-2.68
10 Se 0.4825 0.4825 0.7957  4 Pd 2.51-2.56
11 Se 0.5175 0.5175 0.2043  4 Pd 2.51-2.56
12 Se 0.8129 0.8129 0.3137  4 Pd 2.44-2.68

=====

No. 7
VASP calculation (PBE) on an optimized crystal structure of V3CuSb.

## Properties
Its calculated total energy is -31.2 eV per cell. The calculation puts the uncorrected formation energy at 882.6 meV/atom. Its symmetry is Pm-3m, No. 221. For the size of the total moment, the calculation gives 0.6 μB per cell. The relative energy among the computed polymorphs is 0.000 eV per atom.

Unit cell a=4.4293 b=4.4293 c=4.4293 alpha=90.00 beta=90.00 gamma=90.00
Last column: nearest neighbours and their distance in Å.
Element x y z (fractional)
1 V 0.0000 0.0000 0.5000  2 Cu 2.21
2 V 0.0000 0.5000 0.0000  2 Cu 2.21
3 V 0.5000 0.0000 0.0000  2 Cu 2.21
4 Cu 0.0000 0.0000 0.0000  6 V 2.21
5 Sb 0.5000 0.5000 0.5000  12 V 3.13

=====

No. 8
VASP calculation (PBE) on an optimized crystal structure of MgMn5Rh6.

## Properties
Its calculated total energy is -94.4 eV per cell. The formation energy comes out at -0.24 eV per atom. Its symmetry is Immm, No. 71. For the size of the total moment, the calculation gives 19.9 μB per cell.

Unit cell a=7.4599 b=7.4599 c=7.4599 alpha=146.40 beta=132.04 gamma=59.83
Last column: nearest neighbours and their distance in Å.
Element x y z (fractional)
1 Mg 0.0000 0.0000 0.0000  8 Rh 2.66-2.68
2 Mn 0.1636 0.6636 0.5000  8 Rh 2.62-2.65
3 Mn 0.3335 0.3335 0.0000  8 Rh 2.60-2.62
4 Mn 0.5000 0.0000 0.5000  8 Rh 2.61-2.66
5 Mn 0.6665 0.6665 0.0000  8 Rh 2.60-2.62
6 Mn 0.8364 0.3364 0.5000  8 Rh 2.62-2.65
7 Rh 0.0839 0.8302 0.2537  7 Mn 2.62-2.66, 1 Mg 2.68
8 Rh 0.2581 0.5000 0.7581  6 Mn 2.60-2.63, 2 Mg 2.66
9 Rh 0.4235 0.1698 0.2537  7 Mn 2.62-2.66, 1 Mg 2.68
10 Rh 0.5765 0.8302 0.7463  7 Mn 2.62-2.66, 1 Mg 2.68
11 Rh 0.7419 0.5000 0.2419  6 Mn 2.60-2.63, 2 Mg 2.66
12 Rh 0.9161 0.1698 0.7463  7 Mn 2.62-2.66, 1 Mg 2.68

=====

Look up the calculated total energy of the eighth one. -94.4 eV per cell